NiTeO2F PBE with a Hubbard U optimized geometry; crystal system = tetragonal; total moment = 1.291 μB per formula unit; N(E_F) = 1.10 states/eV/atom; E = -3.7905 eV/atom
1.0
4.1831 0.0000 0.0000
0.0000 4.1831 0.0000
0.0000 0.0000 4.4177
Ni Te O F
1 1 2 1
direct
0.0000 0.0000 0.0000 Ni
0.5000 0.5000 0.5000 Te
0.0000 0.5000 0.5000 O
0.5000 0.0000 0.5000 O
0.5000 0.5000 0.0000 F


NiTeO2F PBE with a Hubbard U optimized geometry; crystal system = tetragonal; total moment = 1.899 μB per formula unit; N(E_F) = 0.33 states/eV/atom; E = -4.1408 eV/atom
1.0
3.9924 0.0000 0.0000
0.0000 3.9924 0.0000
0.0000 0.0000 3.8136
Ni Te O F
1 1 2 1
direct
0.0000 0.0000 0.0000 Ni
0.5000 0.5000 0.5000 Te
0.0000 0.5000 0.0000 O
0.5000 0.0000 0.0000 O
0.0000 0.0000 0.5000 F


TiNiOF2 PBE with a Hubbard U optimized geometry; crystal system = tetragonal; total moment = 1.057 μB per formula unit; N(E_F) = 0.58 states/eV/atom; E = -5.8016 eV/atom; relative energy among the computed polymorphs = 0.0000 eV/atom
1.0
4.0060 0.0000 0.0000
0.0000 4.0060 0.0000
0.0000 0.0000 3.8418
Ti Ni O F
1 1 1 2
direct
0.0000 0.0000 0.0000 Ti
0.5000 0.5000 0.5000 Ni
0.0000 0.0000 0.5000 O
0.0000 0.5000 0.0000 F
0.5000 0.0000 0.0000 F


TiNiOF2 PBE with a Hubbard U optimized geometry; crystal system = tetragonal; total moment = 4.000 μB per formula unit; N(E_F) = 0.18 states/eV/atom; E = -5.2674 eV/atom; relative energy among the computed polymorphs = 0.5342 eV/atom
1.0
3.8398 0.0000 0.0000
0.0000 3.8398 0.0000
0.0000 0.0000 4.0445
Ti Ni O F
1 1 1 2
direct
0.0000 0.0000 0.0000 Ti
0.5000 0.5000 0.5000 Ni
0.5000 0.5000 0.0000 O
0.0000 0.5000 0.5000 F
0.5000 0.0000 0.5000 F